1.
Entry from the Alexandria database: crystalline Tb2Ho4O at its relaxed geometry (PBE-GGA).

Unit cell a=4.756 b=4.756 c=9.346 alpha=75.26 beta=75.26 gamma=90.00
Element x y z (fractional)
Tb 0.337 0.337 0.327
O 0.000 0.000 0.000
Ho 0.000 0.500 0.000
Ho 0.865 0.865 0.270
Ho 0.135 0.135 0.730
Tb 0.663 0.663 0.673
Ho 0.500 0.000 0.000

***

2.
Entry from the Alexandria database: crystalline TbHoO at its relaxed geometry (PBE-GGA).

Unit cell a=3.533 b=7.094 c=6.723 alpha=58.02 beta=74.84 gamma=60.12
Last column: magnetic moment on the atom in μB.
Element x y z (fractional)
O 0.980 0.767 0.506  0.01
Ho 0.661 0.206 0.263  0.15
Ho 0.339 0.794 0.737  0.15
O 0.020 0.233 0.494  0.01
Tb 0.668 0.698 0.268  0.09
Tb 0.332 0.302 0.732  0.09

***

3.
Entry from the Alexandria database: crystalline Tb2HoO4 at its relaxed geometry (PBE-GGA).

Unit cell a=3.451 b=5.901 c=6.366 alpha=119.99 beta=105.73 gamma=90.00
Element x y z (fractional)
O 0.133 0.842 0.265
O 0.867 0.158 0.735
Tb 0.301 0.301 0.602
O 0.356 0.734 0.713
Tb 0.699 0.699 0.398
O 0.644 0.266 0.287
Ho 0.000 0.000 0.000

***

4.
Entry from the Alexandria database: crystalline TbHoO at its relaxed geometry (PBE-GGA).

Unit cell a=3.525 b=3.525 c=5.743 alpha=90.00 beta=90.00 gamma=120.00
Last column: magnetic moment on the atom in μB.
Element x y z (fractional)
O 0.667 0.333 0.338  0.01
Tb 0.000 0.000 0.096  0.17
Ho 0.333 0.667 0.565  -0.09

***

Record-wise Fermi-level density of states values, in states/eV per cell: 8.28 5.91 2.19 3.02
Record-wise formation energy without anion corrections values, in meV per atom: -646 -1797 -3212 -1793